No. 1
Compound: Sr2Hg2Te
Source: the Alexandria database
Functional: PBE
Structure: optimized geometry

Lattice parameters (Å, degrees): 8.796 8.796 4.799 90.00 90.00 90.00
Element x y z (fractional)
Sr  0.819  0.681  0.000
Sr  0.681  0.181  0.000
Sr  0.181  0.319  0.000
Sr  0.319  0.819  0.000
Hg  0.378  0.122  0.500
Hg  0.122  0.622  0.500
Hg  0.622  0.878  0.500
Hg  0.878  0.378  0.500
Te  0.500  0.500  0.000
Te  0.000  0.000  0.000

Results
The calculation puts the total energy at -2.11 eV per atom. The symmetry is No. 127. The value obtained for the uncorrected formation energy is -0.69 eV/atom.



No. 2
Compound: Tl4CdPb15
Source: the Alexandria database
Functional: PBE
Structure: optimized geometry

Lattice parameters (Å, degrees): 4.990 4.990 24.932 90.00 90.00 90.00
Element x y z (fractional)
Pb  0.500  0.500  0.601
Pb  0.500  0.000  0.904
Pb  0.000  0.500  0.297
Pb  0.000  0.500  0.904
Pb  0.000  0.500  0.703
Pb  0.500  0.000  0.703
Pb  0.500  0.500  0.198
Pb  0.500  0.500  0.000
Pb  0.000  0.500  0.500
Pb  0.500  0.000  0.297
Pb  0.500  0.500  0.802
Pb  0.500  0.000  0.096
Pb  0.500  0.500  0.399
Pb  0.000  0.500  0.096
Pb  0.500  0.000  0.500
Tl  0.000  0.000  0.601
Tl  0.000  0.000  0.802
Tl  0.000  0.000  0.399
Tl  0.000  0.000  0.198
Cd  0.000  0.000  0.000

Results
The energy of formation is 0.0106 eV per atom. The calculation puts the total energy at -3.29 eV per atom. The symmetry is No. 123.



No. 3
Compound: HfTlRuS2
Source: the Alexandria database
Functional: PBE
Structure: optimized geometry

Lattice parameters (Å, degrees): 4.530 5.327 4.530 90.00 90.00 90.00
Element x y z (fractional)
Hf  0.500  0.500  0.500
S  0.500  0.000  0.000
S  0.000  0.000  0.500
Tl  0.000  0.500  0.000
Ru  0.000  0.000  0.000

Results
The calculation puts the total energy at -5.39 eV per atom. The symmetry is No. 123. The value obtained for the uncorrected formation energy is 0.58 eV/atom.



No. 4
Compound: SmDy3TmTh
Source: the Alexandria database
Functional: PBE
Structure: optimized geometry

Lattice parameters (Å, degrees): 5.045 7.940 10.640 116.29 90.00 90.00
Element x y z (fractional)
Dy  0.250  0.627  0.457
Dy  0.750  0.373  0.543
Dy  0.250  0.617  0.793
Dy  0.750  0.383  0.207
Dy  0.750  0.869  0.044
Dy  0.250  0.131  0.956
Sm  0.250  0.124  0.292
Sm  0.750  0.876  0.708
Th  0.250  0.621  0.122
Th  0.750  0.379  0.878
Tm  0.750  0.873  0.373
Tm  0.250  0.127  0.627

Results
The energy of formation is 0.0268 eV per atom. The calculation puts the total energy at -5.04 eV per atom. The symmetry is No. 11.



No. 5
Compound: In5Pt4
Source: the Alexandria database
Functional: PBE
Structure: optimized geometry

Lattice parameters (Å, degrees): 6.591 6.591 6.591 96.42 96.42 140.94
Element x y z (fractional)
In  0.326  0.326  0.653
In  0.000  0.000  0.000
In  0.326  0.674  0.000
In  0.674  0.674  0.347
In  0.674  0.326  0.000
Pt  0.325  0.000  0.325
Pt  0.000  0.675  0.675
Pt  0.675  0.000  0.675
Pt  0.000  0.325  0.325

Results
The energy of formation is -0.1223 eV per atom. The calculation puts the total energy at -4.33 eV per atom. The symmetry is No. 139.



No. 6
Compound: Ga2BS6
Source: the Alexandria database
Functional: PBE
Structure: optimized geometry

Lattice parameters (Å, degrees): 6.659 7.716 7.716 92.00 79.15 79.15
Element x y z (fractional)
S  0.237  0.456  0.264
S  0.737  0.264  0.456
S  0.281  0.410  0.871
S  0.263  0.736  0.544
S  0.219  0.129  0.590
S  0.781  0.871  0.410
S  0.010  0.861  0.025
S  0.990  0.139  0.975
S  0.490  0.975  0.139
S  0.510  0.025  0.861
S  0.763  0.544  0.736
S  0.719  0.590  0.129
Ga  0.439  0.235  0.371
Ga  0.561  0.765  0.629
Ga  0.939  0.371  0.235
Ga  0.061  0.629  0.765
B  0.250  0.176  0.824
B  0.750  0.824  0.176

Results
The calculation puts the total energy at -4.42 eV per atom. The symmetry is No. 15. The value obtained for the uncorrected formation energy is -0.25 eV/atom.



No. 7
Compound: CaTa
Source: the Alexandria database
Functional: PBE
Structure: optimized geometry

Lattice parameters (Å, degrees): 5.779 15.690 9.341 90.00 90.00 90.00
Element x y z (fractional)
Ta  0.500  0.577  0.000
Ta  0.750  0.327  0.250
Ta  0.750  0.173  0.250
Ta  0.500  0.077  0.500
Ta  0.750  0.673  0.750
Ta  0.250  0.673  0.250
Ta  0.000  0.923  0.000
Ta  0.250  0.327  0.750
Ta  0.500  0.923  0.500
Ta  0.250  0.173  0.750
Ta  0.000  0.577  0.500
Ta  0.000  0.077  0.000
Ta  0.250  0.827  0.250
Ta  0.000  0.423  0.500
Ta  0.750  0.827  0.750
Ta  0.500  0.423  0.000
Ca  0.500  0.500  0.334
Ca  0.250  0.750  0.584
Ca  0.250  0.250  0.416
Ca  0.250  0.250  0.084
Ca  0.500  0.000  0.834
Ca  0.500  0.000  0.166
Ca  0.250  0.750  0.916
Ca  0.000  0.000  0.666
Ca  0.750  0.750  0.416
Ca  0.750  0.250  0.584
Ca  0.000  0.500  0.166
Ca  0.000  0.000  0.334
Ca  0.000  0.500  0.834
Ca  0.750  0.750  0.084
Ca  0.750  0.250  0.916
Ca  0.500  0.500  0.666

Results
The energy of formation is 0.8691 eV per atom. The calculation puts the total energy at -6.06 eV per atom. The symmetry is No. 70.



No. 8
Compound: MnVSi3
Source: the Alexandria database
Functional: PBE
Structure: optimized geometry

Lattice parameters (Å, degrees): 4.363 4.363 4.363 90.00 90.00 90.00
Each line ends with the local moment (μB).
Element x y z (fractional)
Mn  0.000  0.000  0.000  1.30
Si  0.000  0.500  0.000  -0.01
Si  0.000  0.000  0.500  -0.01
Si  0.500  0.000  0.000  -0.01
V  0.500  0.500  0.500  2.85

Results
The calculation puts the total energy at -6.36 eV per atom. The symmetry is No. 221. The value obtained for the uncorrected formation energy is 0.55 eV/atom.



No. 9
Compound: ClF
Source: the Alexandria database
Functional: PBE
Structure: optimized geometry

Lattice parameters (Å, degrees): 7.755 7.755 7.755 90.00 90.00 90.00
Element x y z (fractional)
F  0.366  0.366  0.634
F  0.634  0.366  0.366
F  0.134  0.134  0.134
F  0.366  0.634  0.366
F  0.634  0.634  0.634
F  0.134  0.866  0.866
F  0.866  0.866  0.134
F  0.866  0.134  0.866
Cl  0.757  0.243  0.243
Cl  0.243  0.243  0.757
Cl  0.743  0.743  0.257
Cl  0.243  0.757  0.243
Cl  0.257  0.743  0.743
Cl  0.757  0.757  0.757
Cl  0.257  0.257  0.257
Cl  0.743  0.257  0.743

Results
The calculation puts the total energy at -2.14 eV per atom. The symmetry is No. 217. The value obtained for the uncorrected formation energy is -0.29 eV/atom.



No. 10
Compound: YCdCuHg
Source: the Alexandria database
Functional: PBE
Structure: optimized geometry

Lattice parameters (Å, degrees): 4.916 4.916 4.916 60.00 60.00 60.00
Element x y z (fractional)
Y  0.750  0.750  0.750
Cu  0.000  0.000  0.000
Cd  0.250  0.250  0.250
Hg  0.500  0.500  0.500

Results
The energy of formation is -0.2723 eV per atom. The calculation puts the total energy at -3.22 eV per atom. The symmetry is No. 216.



Number 1: N(E_F) 4.14 states/eV per cell. Number 2: N(E_F) 13.18 states/eV per cell. Number 3: N(E_F) 7.25 states/eV per cell. Number 4: N(E_F) 17.78 states/eV per cell. Number 5: N(E_F) 2.19 states/eV per cell. Number 6: N(E_F) 4.82 states/eV per cell. Number 7: N(E_F) 34.79 states/eV per cell. Number 8: N(E_F) 4.63 states/eV per cell. Number 9: N(E_F) 0.00 states/eV per cell. Number 10: N(E_F) 1.82 states/eV per cell.